Entry 1:
Crystalline La2AlGe3Pd4 at its relaxed geometry. Source: Alexandria via LeMat-Bulk, functional PBE.

The value obtained for the total energy is -57.04 eV for the cell shown. For the formation energy from the elements, the calculation gives -882 meV per atom.

```
data_La2AlGe3Pd4
_chemical_formula_sum 'La2 Al1 Ge3 Pd4'
_symmetry_space_group_name_H-M 'P -4 m 2'
_symmetry_Int_Tables_number 115
_symmetry_space_group_name_Hall 'P -4 -2'
_cell_length_a 4.380
_cell_length_b 4.380
_cell_length_c 10.287
_cell_angle_alpha 90.00
_cell_angle_beta 90.00
_cell_angle_gamma 90.00
loop_
_atom_site_label
_atom_site_fract_x
_atom_site_fract_y
_atom_site_fract_z
La1 0.000 0.500 0.249
Al1 0.000 0.000 0.500
Ge1 0.000 0.500 0.872
Ge2 0.500 0.500 0.500
Pd1 0.000 0.000 0.000
Pd2 0.000 0.500 0.628
Pd3 0.500 0.500 0.000
```

Entry 2:
Crystalline La2AlGe4Pd3 at its relaxed geometry. Source: Alexandria via LeMat-Bulk, functional PBE.

The value obtained for the total energy is -55.81 eV for the cell shown. For the formation energy from the elements, the calculation gives -817 meV per atom.

```
data_La2AlGe4Pd3
_chemical_formula_sum 'La2 Al1 Ge4 Pd3'
_symmetry_space_group_name_H-M 'P -4 m 2'
_symmetry_Int_Tables_number 115
_symmetry_space_group_name_Hall 'P -4 -2'
_cell_length_a 4.291
_cell_length_b 4.291
_cell_length_c 10.800
_cell_angle_alpha 90.00
_cell_angle_beta 90.00
_cell_angle_gamma 90.00
loop_
_atom_site_label
_atom_site_fract_x
_atom_site_fract_y
_atom_site_fract_z
La1 0.000 0.500 0.244
Al1 0.000 0.000 0.500
Ge1 0.000 0.000 0.000
Ge2 0.000 0.500 0.640
Ge3 0.500 0.500 0.000
Pd1 0.000 0.500 0.871
Pd2 0.500 0.500 0.500
```